! Sc3ReH PBE-GGA optimized geometry; values from VASP
! - V: 80.4 Å³/cell
! - Magnetization: 1.378 μB/f.u.
! - Energy above the most stable polymorph in this dataset: 0 meV per atom
&SYSTEM
  ibrav = 0, nat = 5, ntyp = 3
/
ATOMIC_SPECIES
Sc 44.96 Sc.upf
H 1.01 H.upf
Re 186.21 Re.upf
ATOMIC_POSITIONS crystal
Sc 0.000 0.500 0.000
Sc 0.500 0.000 0.000
Sc 0.000 0.000 0.500
H 0.000 0.000 0.000
Re 0.500 0.500 0.500
CELL_PARAMETERS angstrom
-3.680 0.532 2.190
2.182 -0.205 3.717
0.562 4.278 -0.094



! Sc2ReH2 PBE-GGA optimized geometry; values from VASP
! - V: 61.9 Å³/cell
! - Total DFT energy (no corrections): -6.645 eV per atom
! - Magnetization: 0.000 μB/f.u.
&SYSTEM
  ibrav = 0, nat = 5, ntyp = 3
/
ATOMIC_SPECIES
H 1.01 H.upf
Sc 44.96 Sc.upf
Re 186.21 Re.upf
ATOMIC_POSITIONS crystal
H 0.250 0.750 0.500
H 0.750 0.250 0.500
Sc 0.358 0.358 0.283
Sc 0.642 0.642 0.717
Re 0.000 0.000 0.000
CELL_PARAMETERS angstrom
-2.552 1.850 -0.481
-1.256 -1.017 2.748
0.849 4.980 4.081



! ScRe2H PBE-GGA optimized geometry; values from VASP
! - V: 56.5 Å³/cell
! - Magnetization: 0.000 μB/f.u.
! - Energy above the most stable polymorph in this dataset: 1126 meV per atom
&SYSTEM
  ibrav = 0, nat = 4, ntyp = 3
/
ATOMIC_SPECIES
Re 186.21 Re.upf
Sc 44.96 Sc.upf
H 1.01 H.upf
ATOMIC_POSITIONS crystal
Re 0.250 0.250 0.250
Re 0.750 0.750 0.750
Sc 0.500 0.500 0.500
H 0.000 0.000 0.000
CELL_PARAMETERS angstrom
0.000 3.046 3.046
3.046 0.000 3.046
3.046 3.046 0.000



! ScRe2H PBE-GGA optimized geometry; values from VASP
! - V: 117.0 Å³/cell
! - Magnetization: 0.000 μB/f.u.
! - Energy above the most stable polymorph in this dataset: 0 meV per atom
&SYSTEM
  ibrav = 0, nat = 8, ntyp = 3
/
ATOMIC_SPECIES
Re 186.21 Re.upf
Sc 44.96 Sc.upf
H 1.01 H.upf
ATOMIC_POSITIONS crystal
Re 0.375 0.125 0.250
Re 0.375 0.625 0.250
Re 0.375 0.625 0.750
Re 0.875 0.625 0.750
Sc 0.000 0.000 0.000
Sc 0.750 0.250 0.500
H 0.250 0.750 0.500
H 0.500 0.500 0.000
CELL_PARAMETERS angstrom
5.487 0.000 0.000
0.000 5.487 0.000
2.743 2.743 3.887